Y2ScSi: single point on PBEsol structure, meta-GGA SCAN.

DOS(E_F) = 5.79 states/eV/cell
crystal system = cubic
space-group type = F-43m, No. 216
formation energy from raw total energies = -0.01 eV/atom
uncorrected energy = -19.99 eV per atom

a = 5.0069 Å, b = 5.0069 Å, c = 5.0069 Å
α = 60.00°, β = 60.00°, γ = 60.00°
Sites, in units of the cell vectors:
Y: 0.0000 0.0000 0.0000
Y: 0.2500 0.2500 0.2500
Sc: 0.5000 0.5000 0.5000
Si: 0.7500 0.7500 0.7500